Record 1
Entry from Alexandria via LeMat-Bulk: a relaxed structure of VCr2Re (GGA-PBE).

```
VCr2Re
1.0
4.1463 -0.5057 -0.0114
1.8205 -2.3901 2.9018
1.6516 -3.6857 -1.0656
V Cr Re
1 2 1
Direct
0.0000 0.0000 0.0000 V
0.2500 0.2500 0.2500 Cr
0.7500 0.7500 0.7500 Cr
0.5000 0.5000 0.5000 Re
```

**V**: 51.5 Å³/cell
**Energy of formation from the pure elements**: -0.15 eV per atom
**Excess energy over the best structure of this formula in the dataset**: 0.000 eV per atom
**Space group**: No. 225
**Density of states at the Fermi level**: 2.9 states/eV/cell


Record 2
Entry from Alexandria via LeMat-Bulk: a relaxed structure of YZnTe2 (GGA-PBE).

```
YZnTe2
1.0
6.4625 0.0065 0.0022
5.1668 3.8818 0.0017
-0.0018 -0.0001 4.2605
Zn Te Y
1 2 1
Direct
0.2562 0.2562 0.1247 Zn
0.0338 0.0338 0.1253 Te
0.7584 0.7584 0.6248 Te
0.4516 0.4516 0.6252 Y
```

**V**: 106.7 Å³/cell
**Excess energy over the best structure of this formula in the dataset**: 0.000 eV per atom
**Space group**: No. 38
**Formation energy from raw total energies**: -926 meV/atom
**Density of states at the Fermi level**: 0.4 states/eV/cell


Record 3
Entry from Alexandria via LeMat-Bulk: a relaxed structure of La2TcCl (GGA-PBE).

```
La2TcCl
1.0
3.4650 -0.0162 0.0000
-1.4609 3.1420 0.0000
0.0000 0.0000 9.8578
Cl La Tc
1 2 1
Direct
0.5000 0.5000 0.7326 Cl
0.0000 0.0000 0.9590 La
0.5000 0.5000 0.3162 La
0.0000 0.0000 0.4921 Tc
```

**V**: 107.1 Å³/cell
**Excess energy over the best structure of this formula in the dataset**: 0.817 eV per atom
**Space group**: No. 35
**Formation energy from raw total energies**: 42 meV/atom
**Density of states at the Fermi level**: 5.4 states/eV/cell


Record 4
Entry from Alexandria via LeMat-Bulk: a relaxed structure of CaTb3Nd6 (GGA-PBE).

```
CaTb3Nd6
1.0
3.5691 0.0000 0.0000
0.0000 12.7224 -4.4320
0.0000 0.0363 15.4267
Nd Tb Ca
12 6 2
Direct
0.7500 0.7815 0.8918 Nd
0.7500 0.1210 0.5041 Nd
0.2500 0.6726 0.2925 Nd
0.7500 0.0347 0.9002 Nd
0.7500 0.4589 0.1200 Nd
0.7500 0.6243 0.4871 Nd
0.2500 0.3757 0.5129 Nd
0.2500 0.9653 0.0998 Nd
0.2500 0.2185 0.1082 Nd
0.7500 0.3274 0.7075 Nd
0.2500 0.8790 0.4959 Nd
0.2500 0.5411 0.8800 Nd
0.7500 0.1819 0.2966 Tb
0.2500 0.8181 0.7034 Tb
0.7500 0.5799 0.6938 Tb
0.2500 0.0870 0.6972 Tb
0.7500 0.9130 0.3028 Tb
0.2500 0.4201 0.3062 Tb
0.2500 0.2885 0.9101 Ca
0.7500 0.7115 0.0899 Ca
```

**V**: 701.1 Å³/cell
**Energy of formation from the pure elements**: 0.09 eV per atom
**Space group**: No. 11
**Density of states at the Fermi level**: 30.2 states/eV/cell


Record 5
Entry from Alexandria via LeMat-Bulk: a relaxed structure of RbNd2Cl2F5 (GGA-PBE).

```
RbNd2Cl2F5
1.0
-3.1039 -1.8456 -0.1910
3.0847 -4.2980 -8.5994
4.1619 -7.5440 5.2634
F Rb Nd Cl
10 2 4 4
Direct
0.5000 0.2288 0.0791 F
0.5000 0.0000 0.5000 F
0.5000 0.5791 0.7288 F
0.5000 0.5000 0.0000 F
0.5000 0.4209 0.2712 F
0.5000 0.9209 0.2288 F
0.5000 0.7288 0.4209 F
0.5000 0.2712 0.5791 F
0.5000 0.7712 0.9209 F
0.5000 0.0791 0.7712 F
0.0000 0.5000 0.5000 Rb
0.0000 0.0000 0.0000 Rb
0.0000 0.1298 0.6298 Nd
0.0000 0.8702 0.3702 Nd
0.0000 0.6298 0.8702 Nd
0.0000 0.3702 0.1298 Nd
0.0000 0.6645 0.1645 Cl
0.0000 0.1645 0.3355 Cl
0.0000 0.3355 0.8355 Cl
0.0000 0.8355 0.6645 Cl
```

**V**: 368.6 Å³/cell
**Space group**: No. 127
**Formation energy from raw total energies**: -3262 meV/atom
**Density of states at the Fermi level**: 0.0 states/eV/cell


Record 6
Entry from Alexandria via LeMat-Bulk: a relaxed structure of La3PmSe4 (GGA-PBE).

```
La3PmSe4
1.0
7.4391 0.0742 0.0000
-2.5376 6.9959 0.0000
0.0000 0.0000 8.5153
Pm Se La
2 8 6
Direct
0.7500 0.0000 0.8752 Pm
0.2500 0.0000 0.1248 Pm
0.5029 0.7528 0.6276 Se
0.0000 0.2448 0.1221 Se
0.0000 0.7552 0.8779 Se
0.5000 0.7552 0.1221 Se
0.9971 0.2472 0.6276 Se
0.5000 0.2448 0.8779 Se
0.0029 0.7528 0.3724 Se
0.4971 0.2472 0.3724 Se
0.2500 0.5000 0.8751 La
0.7500 0.5000 0.6254 La
0.7500 0.5000 0.1249 La
0.2500 0.0000 0.6256 La
0.7500 0.0000 0.3744 La
0.2500 0.5000 0.3746 La
```

**V**: 444.8 Å³/cell
**Excess energy over the best structure of this formula in the dataset**: 0.000 eV per atom
**Space group**: No. 13
**Formation energy from raw total energies**: -1963 meV/atom
**Density of states at the Fermi level**: 8.8 states/eV/cell


Record 7
Entry from Alexandria via LeMat-Bulk: a relaxed structure of PrSi2P6 (GGA-PBE).

```
PrSi2P6
1.0
10.1761 0.0000 0.0000
0.0000 10.4026 0.0000
-5.0881 0.0000 14.0970
P Pr Si
48 8 16
Direct
0.3452 0.6495 0.6904 P
0.6716 0.6843 0.9416 P
0.1994 0.8761 0.0934 P
0.2985 0.1012 0.9150 P
0.5070 0.5004 0.7075 P
0.4695 0.3928 0.9389 P
0.6165 0.1012 0.9150 P
0.7015 0.6012 0.0850 P
0.4311 0.9647 0.5360 P
0.7300 0.1843 0.0584 P
0.7995 0.0004 0.2925 P
0.9530 0.6767 0.3142 P
0.8434 0.4989 0.6867 P
0.2700 0.6843 0.9416 P
0.9160 0.3153 0.2429 P
0.2005 0.5004 0.7075 P
0.5493 0.6636 0.5136 P
0.0419 0.5748 0.0838 P
0.1060 0.3761 0.9066 P
0.9643 0.6636 0.5136 P
0.0470 0.1767 0.6858 P
0.5754 0.7175 0.1508 P
0.3200 0.9805 0.6400 P
0.8951 0.4647 0.4640 P
0.8006 0.3761 0.9066 P
0.0357 0.1636 0.4864 P
0.6800 0.4805 0.3600 P
0.5689 0.4647 0.4640 P
0.4246 0.2175 0.8492 P
0.6548 0.1495 0.3096 P
0.3284 0.1843 0.0584 P
0.0840 0.8153 0.7571 P
0.8940 0.8761 0.0934 P
0.3835 0.6012 0.0850 P
0.3269 0.3153 0.2429 P
0.9221 0.4998 0.8442 P
0.2271 0.4510 0.4543 P
0.0779 0.9998 0.1558 P
0.1566 0.9989 0.3133 P
0.6388 0.1767 0.6858 P
0.9581 0.0748 0.9162 P
0.6731 0.8153 0.7571 P
0.7729 0.9510 0.5457 P
0.4507 0.1636 0.4864 P
0.3612 0.6767 0.3142 P
0.1049 0.9647 0.5360 P
0.5305 0.8928 0.0611 P
0.4930 0.0004 0.2925 P
0.0404 0.2770 0.0808 Pr
0.7663 0.2370 0.5326 Pr
0.4198 0.8535 0.8395 Pr
0.6889 0.7610 0.3778 Pr
0.9596 0.7770 0.9192 Pr
0.3111 0.2610 0.6222 Pr
0.2337 0.7370 0.4674 Pr
0.5802 0.3535 0.1605 Pr
0.9933 0.9672 0.6441 Si
0.6041 0.4966 0.8671 Si
0.6508 0.9672 0.6441 Si
0.7590 0.1769 0.8385 Si
0.3492 0.4672 0.3559 Si
0.0115 0.6346 0.6689 Si
0.6574 0.6346 0.6689 Si
0.3426 0.1346 0.3311 Si
0.9885 0.1346 0.3311 Si
0.9205 0.6769 0.1615 Si
0.2630 0.4966 0.8671 Si
0.3959 0.9966 0.1329 Si
0.0795 0.1769 0.8385 Si
0.0067 0.4672 0.3559 Si
0.7370 0.9966 0.1329 Si
0.2410 0.6769 0.1615 Si
```

**V**: 1492.3 Å³/cell
**Space group**: No. 36
**Formation energy from raw total energies**: -436 meV/atom


Copy entry 7 word for word.
Entry from Alexandria via LeMat-Bulk: a relaxed structure of PrSi2P6 (GGA-PBE).

```
PrSi2P6
1.0
10.1761 0.0000 0.0000
0.0000 10.4026 0.0000
-5.0881 0.0000 14.0970
P Pr Si
48 8 16
Direct
0.3452 0.6495 0.6904 P
0.6716 0.6843 0.9416 P
0.1994 0.8761 0.0934 P
0.2985 0.1012 0.9150 P
0.5070 0.5004 0.7075 P
0.4695 0.3928 0.9389 P
0.6165 0.1012 0.9150 P
0.7015 0.6012 0.0850 P
0.4311 0.9647 0.5360 P
0.7300 0.1843 0.0584 P
0.7995 0.0004 0.2925 P
0.9530 0.6767 0.3142 P
0.8434 0.4989 0.6867 P
0.2700 0.6843 0.9416 P
0.9160 0.3153 0.2429 P
0.2005 0.5004 0.7075 P
0.5493 0.6636 0.5136 P
0.0419 0.5748 0.0838 P
0.1060 0.3761 0.9066 P
0.9643 0.6636 0.5136 P
0.0470 0.1767 0.6858 P
0.5754 0.7175 0.1508 P
0.3200 0.9805 0.6400 P
0.8951 0.4647 0.4640 P
0.8006 0.3761 0.9066 P
0.0357 0.1636 0.4864 P
0.6800 0.4805 0.3600 P
0.5689 0.4647 0.4640 P
0.4246 0.2175 0.8492 P
0.6548 0.1495 0.3096 P
0.3284 0.1843 0.0584 P
0.0840 0.8153 0.7571 P
0.8940 0.8761 0.0934 P
0.3835 0.6012 0.0850 P
0.3269 0.3153 0.2429 P
0.9221 0.4998 0.8442 P
0.2271 0.4510 0.4543 P
0.0779 0.9998 0.1558 P
0.1566 0.9989 0.3133 P
0.6388 0.1767 0.6858 P
0.9581 0.0748 0.9162 P
0.6731 0.8153 0.7571 P
0.7729 0.9510 0.5457 P
0.4507 0.1636 0.4864 P
0.3612 0.6767 0.3142 P
0.1049 0.9647 0.5360 P
0.5305 0.8928 0.0611 P
0.4930 0.0004 0.2925 P
0.0404 0.2770 0.0808 Pr
0.7663 0.2370 0.5326 Pr
0.4198 0.8535 0.8395 Pr
0.6889 0.7610 0.3778 Pr
0.9596 0.7770 0.9192 Pr
0.3111 0.2610 0.6222 Pr
0.2337 0.7370 0.4674 Pr
0.5802 0.3535 0.1605 Pr
0.9933 0.9672 0.6441 Si
0.6041 0.4966 0.8671 Si
0.6508 0.9672 0.6441 Si
0.7590 0.1769 0.8385 Si
0.3492 0.4672 0.3559 Si
0.0115 0.6346 0.6689 Si
0.6574 0.6346 0.6689 Si
0.3426 0.1346 0.3311 Si
0.9885 0.1346 0.3311 Si
0.9205 0.6769 0.1615 Si
0.2630 0.4966 0.8671 Si
0.3959 0.9966 0.1329 Si
0.0795 0.1769 0.8385 Si
0.0067 0.4672 0.3559 Si
0.7370 0.9966 0.1329 Si
0.2410 0.6769 0.1615 Si
```

**V**: 1492.3 Å³/cell
**Space group**: No. 36
**Formation energy from raw total energies**: -436 meV/atom


> What is the formula in the fifth record?

RbNd2Cl2F5


> Which of these has the highest V?

PrSi2P6


> The highest V belongs to which entry?

PrSi2P6